TbNdCdGa: optimized geometry, PBE-GGA.

Lattice parameters (Å, degrees): 5.2766 5.2766 5.2766 60.00 60.00 60.00
Last column: nearest neighbours and their distance in Å.
Fractional positions:
Tb 0.0000 0.0000 0.0000  4 Cd 3.23, 4 Ga 3.23
Nd 0.5000 0.5000 0.5000  4 Cd 3.23, 4 Ga 3.23
Cd 0.2500 0.2500 0.2500  4 Tb 3.23, 4 Nd 3.23
Ga 0.7500 0.7500 0.7500  4 Nd 3.23, 4 Tb 3.23

Results
The calculation puts the density of states at the Fermi level at 1.015 states/eV/atom. For the total DFT energy (no corrections), the calculation gives -15.074 eV for the cell shown. As for the energy of formation: -0.433 eV per atom. The calculated density comes out at 7757 kg/m³. Its total magnetic moment is 0.000 μB/cell. As for the space group: No. 216.

LiNd5Au6: optimized geometry, PBE-GGA.

Lattice parameters (Å, degrees): 8.9855 8.9855 5.1948 106.77 106.77 119.71
Last column: nearest neighbours and their distance in Å.
Fractional positions:
Li 0.0000 0.0000 0.0000  8 Au 3.26-3.28, 4 Nd 3.52
Nd 0.1527 0.8473 0.5000  8 Au 3.10-3.28
Nd 0.3287 0.6713 0.0000  8 Au 3.11-3.16
Nd 0.5000 0.5000 0.5000  8 Au 3.10-3.20
Nd 0.6713 0.3287 0.0000  8 Au 3.11-3.16
Nd 0.8473 0.1527 0.5000  8 Au 3.10-3.28
Au 0.0870 0.4282 0.2579  7 Nd 3.11-3.28, 1 Li 3.26
Au 0.2695 0.2695 0.7702  6 Nd 3.10-3.16, 2 Li 3.27-3.28, 1 Au 3.41
Au 0.4282 0.0870 0.2579  7 Nd 3.11-3.28, 1 Li 3.26
Au 0.5718 0.9130 0.7421  7 Nd 3.11-3.28, 1 Li 3.26
Au 0.7305 0.7305 0.2298  6 Nd 3.10-3.16, 2 Li 3.27-3.28, 1 Au 3.41
Au 0.9130 0.5718 0.7421  7 Nd 3.11-3.28, 1 Li 3.26

Results
The calculation puts the density of states at the Fermi level at 0.729 states/eV/atom. For the total DFT energy (no corrections), the calculation gives -54.006 eV for the cell shown. As for the energy of formation: -0.716 eV per atom. The calculated density comes out at 10637 kg/m³. Its total magnetic moment is 0.000 μB/cell. As for the space group: No. 12.

Please write out number 2 again, unchanged.
LiNd5Au6: optimized geometry, PBE-GGA.

Lattice parameters (Å, degrees): 8.9855 8.9855 5.1948 106.77 106.77 119.71
Last column: nearest neighbours and their distance in Å.
Fractional positions:
Li 0.0000 0.0000 0.0000  8 Au 3.26-3.28, 4 Nd 3.52
Nd 0.1527 0.8473 0.5000  8 Au 3.10-3.28
Nd 0.3287 0.6713 0.0000  8 Au 3.11-3.16
Nd 0.5000 0.5000 0.5000  8 Au 3.10-3.20
Nd 0.6713 0.3287 0.0000  8 Au 3.11-3.16
Nd 0.8473 0.1527 0.5000  8 Au 3.10-3.28
Au 0.0870 0.4282 0.2579  7 Nd 3.11-3.28, 1 Li 3.26
Au 0.2695 0.2695 0.7702  6 Nd 3.10-3.16, 2 Li 3.27-3.28, 1 Au 3.41
Au 0.4282 0.0870 0.2579  7 Nd 3.11-3.28, 1 Li 3.26
Au 0.5718 0.9130 0.7421  7 Nd 3.11-3.28, 1 Li 3.26
Au 0.7305 0.7305 0.2298  6 Nd 3.10-3.16, 2 Li 3.27-3.28, 1 Au 3.41
Au 0.9130 0.5718 0.7421  7 Nd 3.11-3.28, 1 Li 3.26

Results
The calculation puts the density of states at the Fermi level at 0.729 states/eV/atom. For the total DFT energy (no corrections), the calculation gives -54.006 eV for the cell shown. As for the energy of formation: -0.716 eV per atom. The calculated density comes out at 10637 kg/m³. Its total magnetic moment is 0.000 μB/cell. As for the space group: No. 12.

Please write out number 2 again, unchanged.
LiNd5Au6: optimized geometry, PBE-GGA.

Lattice parameters (Å, degrees): 8.9855 8.9855 5.1948 106.77 106.77 119.71
Last column: nearest neighbours and their distance in Å.
Fractional positions:
Li 0.0000 0.0000 0.0000  8 Au 3.26-3.28, 4 Nd 3.52
Nd 0.1527 0.8473 0.5000  8 Au 3.10-3.28
Nd 0.3287 0.6713 0.0000  8 Au 3.11-3.16
Nd 0.5000 0.5000 0.5000  8 Au 3.10-3.20
Nd 0.6713 0.3287 0.0000  8 Au 3.11-3.16
Nd 0.8473 0.1527 0.5000  8 Au 3.10-3.28
Au 0.0870 0.4282 0.2579  7 Nd 3.11-3.28, 1 Li 3.26
Au 0.2695 0.2695 0.7702  6 Nd 3.10-3.16, 2 Li 3.27-3.28, 1 Au 3.41
Au 0.4282 0.0870 0.2579  7 Nd 3.11-3.28, 1 Li 3.26
Au 0.5718 0.9130 0.7421  7 Nd 3.11-3.28, 1 Li 3.26
Au 0.7305 0.7305 0.2298  6 Nd 3.10-3.16, 2 Li 3.27-3.28, 1 Au 3.41
Au 0.9130 0.5718 0.7421  7 Nd 3.11-3.28, 1 Li 3.26

Results
The calculation puts the density of states at the Fermi level at 0.729 states/eV/atom. For the total DFT energy (no corrections), the calculation gives -54.006 eV for the cell shown. As for the energy of formation: -0.716 eV per atom. The calculated density comes out at 10637 kg/m³. Its total magnetic moment is 0.000 μB/cell. As for the space group: No. 12.